Record 1
Density functional theory data (PBE) for a relaxed structure of YThHg.

Summary:
The calculation puts the energy above the most stable polymorph in this dataset at 0 meV/atom. As for the space-group type: F-43m, No. 216. For the mass density, the calculation gives 8.860 g/cm³. The raw total energy comes out at -4.6394 eV per atom.

a = 5.1706 Å, b = 5.1706 Å, c = 5.1706 Å
α = 60.00°, β = 60.00°, γ = 60.00°
Last column: nearest neighbours and their distance in Å.
Fractional coordinates of all 3 atoms:
Y (0.0000, 0.0000, 0.0000)  4 Hg 3.17
Th (0.5000, 0.5000, 0.5000)  4 Hg 3.17
Hg (0.7500, 0.7500, 0.7500)  4 Th 3.17, 4 Y 3.17



Record 2
Density functional theory data (PBE) for a relaxed structure of ThZnHg.

Summary:
As for the space-group type: F-43m, No. 216. For the mass density, the calculation gives 9.317 g/cm³. The raw total energy comes out at -2.7693 eV per atom.

a = 5.0070 Å, b = 5.0070 Å, c = 5.0070 Å
α = 60.00°, β = 60.00°, γ = 60.00°
Last column: nearest neighbours and their distance in Å.
Fractional coordinates of all 3 atoms:
Th (0.0000, 0.0000, 0.0000)  4 Hg 3.07, 4 Zn 3.07
Zn (0.2500, 0.2500, 0.2500)  4 Th 3.07
Hg (0.7500, 0.7500, 0.7500)  4 Th 3.07



Record 3
Density functional theory data (PBE) for a relaxed structure of ThZnHg.

Summary:
As for the space-group type: F-43m, No. 216. For the mass density, the calculation gives 10.764 g/cm³. The raw total energy comes out at -3.1441 eV per atom.

a = 4.7718 Å, b = 4.7718 Å, c = 4.7718 Å
α = 60.00°, β = 60.00°, γ = 60.00°
Last column: nearest neighbours and their distance in Å.
Fractional coordinates of all 3 atoms:
Th (0.0000, 0.0000, 0.0000)  4 Zn 2.92
Zn (0.7500, 0.7500, 0.7500)  4 Hg 2.92, 4 Th 2.92
Hg (0.5000, 0.5000, 0.5000)  4 Zn 2.92



Record 4
Density functional theory data (PBE) for a relaxed structure of ThZrHg.

Summary:
The calculation puts the energy above the most stable polymorph in this dataset at 0 meV/atom. As for the space-group type: F-43m, No. 216. For the mass density, the calculation gives 9.735 g/cm³. The raw total energy comes out at -5.1009 eV per atom.

a = 5.0181 Å, b = 5.0181 Å, c = 5.0181 Å
α = 60.00°, β = 60.00°, γ = 60.00°
Last column: nearest neighbours and their distance in Å.
Fractional coordinates of all 3 atoms:
Th (0.0000, 0.0000, 0.0000)  4 Hg 3.07
Zr (0.5000, 0.5000, 0.5000)  4 Hg 3.07
Hg (0.2500, 0.2500, 0.2500)  4 Zr 3.07, 4 Th 3.07